First-principles (GGA-PBE) data for an optimized crystal structure of LaTlRhPb2, as listed in Alexandria via LeMat-Bulk.

Properties
The value obtained for the formation energy is -138 kJ/mol of formula units.

The structure in POSCAR format:
```
LaTlRhPb2
1.0
5.3669 0.0000 0.0000
0.0000 5.3669 0.0000
0.0000 0.0000 5.2884
Rh Pb Tl La
1 2 1 1
direct
0.0000 0.0000 0.0000
0.5000 0.0000 0.0000
0.0000 0.5000 0.0000
0.5000 0.5000 0.5000
0.0000 0.0000 0.5000
```



First-principles (GGA-PBE) data for an optimized crystal structure of NdHoMg4, as listed in Alexandria via LeMat-Bulk.

Properties
As for the relative energy among the computed polymorphs: 0 meV/atom. The value obtained for the formation energy is -47 kJ/mol of formula units.

The structure in POSCAR format:
```
NdHoMg4
1.0
6.0736 0.0000 0.0000
3.0368 5.2599 0.0000
3.0368 1.7533 4.9591
Mg Nd Ho
4 1 1
direct
0.1246 0.6251 0.6251
0.6251 0.1246 0.6251
0.6251 0.6251 0.6251
0.6251 0.6251 0.1246
0.2500 0.2500 0.2500
0.0000 0.0000 0.0000
```



First-principles (GGA-PBE) data for an optimized crystal structure of ScCo3Re, as listed in Alexandria via LeMat-Bulk.

Properties
As for the relative energy among the computed polymorphs: 0 meV/atom. The value obtained for the formation energy is 418 kJ/mol of formula units.

The structure in POSCAR format:
```
ScCo3Re
1.0
-0.9499 1.5412 -4.0433
2.7970 -2.9398 -1.7777
-3.3016 -2.9339 -0.3427
Sc Co Re
1 3 1
direct
0.5000 0.5000 0.5000
0.5000 0.0000 0.0000
0.0000 0.0000 0.5000
0.0000 0.5000 0.0000
0.0000 0.0000 0.0000
```



First-principles (GGA-PBE) data for an optimized crystal structure of SrPmHg, as listed in Alexandria via LeMat-Bulk.

Properties
As for the relative energy among the computed polymorphs: 0 meV/atom. The value obtained for the formation energy is -82 kJ/mol of formula units.

The structure in POSCAR format:
```
SrPmHg
1.0
3.9004 0.0000 0.0000
0.0000 3.9004 0.0000
-1.9502 -1.9502 6.8735
Pm Sr Hg
1 1 1
direct
0.2982 0.2982 0.5965
0.0214 0.0214 0.0428
0.6804 0.6804 0.3607
```



First-principles (GGA-PBE) data for an optimized crystal structure of Bi2OsSe, as listed in Alexandria via LeMat-Bulk.

Properties
As for the formation energy without anion corrections: 654.8 meV per atom.

The structure in POSCAR format:
```
Bi2OsSe
1.0
-2.8882 3.5345 -4.7750
-4.2380 -4.9465 -1.0981
-7.3844 1.6652 1.1300
Se Bi Os
2 4 2
direct
0.2500 0.7500 0.5000
0.5000 0.5000 0.0000
0.6692 0.1250 0.2500
0.0808 0.6250 0.2500
0.8750 0.9192 0.7500
0.3750 0.3308 0.7500
0.7500 0.2500 0.5000
0.0000 0.0000 0.0000
```



First-principles (GGA-PBE) data for an optimized crystal structure of YSnHgI6, as listed in Alexandria via LeMat-Bulk.

Properties
As for the formation energy without anion corrections: -770.5 meV per atom.

The structure in POSCAR format:
```
YSnHgI6
1.0
7.8713 0.0002 -0.0055
3.9358 6.8181 -0.0019
0.0001 0.0011 7.3841
I Sn Hg Y
6 1 1 1
direct
0.0108 0.3454 0.2606
0.6440 0.3452 0.7393
0.6435 0.0112 0.2607
0.0112 0.6437 0.7393
0.3451 0.6437 0.2606
0.3453 0.0109 0.7393
0.6666 0.6667 0.4999
0.0000 0.0000 0.0002
0.3333 0.3333 0.5000
```